(1)
GGA-PBE KZrSi, optimized geometry; crystal system = cubic; symmetry = F-43m; excess energy over the best structure of this formula in the dataset = 0 meV per atom
1.0
0.0000 3.4492 3.4492
3.4492 0.0000 3.4492
3.4492 3.4492 0.0000
K Si Zr
1 1 1
direct
0.2500 0.2500 0.2500
0.0000 0.0000 0.0000
0.7500 0.7500 0.7500



(2)
GGA-PBE KSm, optimized geometry; crystal system = hexagonal; symmetry = P6_3/mmc
1.0
-0.5630 -6.0381 2.7689
5.0405 4.0045 1.7321
-3.3430 2.3167 4.3723
K Sm
2 2
direct
0.3333 0.6667 0.2500
0.6667 0.3333 0.7500
0.0000 0.0000 0.0000
0.0000 0.0000 0.5000



(3)
GGA-PBE KSm2, optimized geometry; crystal system = cubic; symmetry = Fd-3m
1.0
0.0000 5.0657 5.0657
5.0657 0.0000 5.0657
5.0657 5.0657 0.0000
K Sm
2 4
direct
0.0000 0.0000 0.0000
0.2500 0.2500 0.2500
0.6250 0.6250 0.1250
0.6250 0.1250 0.6250
0.1250 0.6250 0.6250
0.6250 0.6250 0.6250



(4)
GGA-PBE KSm, optimized geometry; crystal system = cubic; symmetry = Fm-3m
1.0
2.7400 -3.8583 -1.4230
1.0299 -3.6158 3.2069
-2.0857 -4.4474 -0.5375
K Sm
1 1
direct
0.0000 0.0000 0.0000
0.5000 0.5000 0.5000



no.,calculated total energy (eV/atom),total moment (μB per cell)
1,-4.38,0.2
2,-2.01,0.1
3,-2.98,1.0
4,-1.77,0.0